A plane-wave DFT calculation with PBE-GGA was carried out for a relaxed CrSnSe2 crystal.

Structure (POSCAR):
```
CrSnSe2
1.0
-2.5936 -1.3532 -2.1692
3.6839 -4.9249 1.7246
-6.0890 0.5943 6.9098
Cr Se Sn
2 4 2
Direct
0.1364 0.2729 0.8945
0.8636 0.7271 0.1055
0.3452 0.6905 0.9158
0.4117 0.8234 0.2990
0.6548 0.3095 0.0842
0.5883 0.1766 0.7010
0.6457 0.2915 0.4112
0.3543 0.7085 0.5888
```

Properties
The value obtained for the magnetization is 3.26 μB/f.u. The calculation puts the energy relative to the elements, uncorrected at -318 meV/atom. The space-group type is C2/m (12).